PBE K4SbO5, optimized geometry; final energy = -4.76 eV per atom; raw formation energy = -1429 meV per atom; energy above the most stable polymorph in this dataset = 0.00 eV per formula unit; magnetic moment = 1.095 μB per formula unit; space group = I4 (79)
1.0
-4.7879 2.7502 1.9826
-5.0590 0.3350 -4.0017
-4.3831 -3.6003 3.0895
K O Sb
4 5 1
Cartesian
-7.5191 -1.5294 1.7941 K
-10.6587 0.3013 0.3529 K
-3.8309 -0.6673 0.8251 K
-6.9704 1.1634 -0.6162 K
-8.3675 -1.6485 -0.7803 O
-9.5948 -0.4143 3.2238 O
-1.8695 1.0739 0.7741 O
-5.7409 1.0636 1.8005 O
-4.5136 -0.1706 -2.2036 O
-0.2976 0.1710 0.1232 Sb